# 1
The following is a DFT calculation (PBE-GGA) of a relaxed Li2AcPt crystal.

Values from the calculation:
ΔH_f (0 K) = -584.5 meV/atom
ΔE to the lowest computed polymorph = 0.0000 eV/atom

```
Li2AcPt
1.0
4.773 0.000 0.000
0.000 5.795 0.000
0.000 0.000 6.491
Li Ac Pt
4 2 2
direct
0.250 0.015 0.090 Li
0.250 0.485 0.090 Li
0.750 0.515 0.910 Li
0.750 0.985 0.910 Li
0.250 0.250 0.576 Ac
0.750 0.750 0.424 Ac
0.250 0.750 0.745 Pt
0.750 0.250 0.255 Pt
```

# 2
The following is a DFT calculation (PBE-GGA) of a relaxed LiAcPt2 crystal.

Values from the calculation:
ΔH_f (0 K) = -717.7 meV/atom
ΔE to the lowest computed polymorph = 0.1528 eV/atom

```
LiAcPt2
1.0
4.447 0.000 0.000
0.000 4.447 0.000
0.000 0.000 4.189
Li Ac Pt
1 1 2
direct
0.000 0.000 0.000 Li
0.500 0.500 0.000 Ac
0.000 0.500 0.500 Pt
0.500 0.000 0.500 Pt
```

# 3
The following is a DFT calculation (PBE-GGA) of a relaxed LiAcPt2 crystal.

Values from the calculation:
ΔH_f (0 K) = -855.3 meV/atom
ΔE to the lowest computed polymorph = 0.0152 eV/atom

```
LiAcPt2
1.0
7.398 0.000 0.000
0.000 4.464 0.000
0.000 0.000 10.519
Li Ac Pt
4 4 8
direct
0.030 0.250 0.102 Li
0.470 0.750 0.602 Li
0.530 0.250 0.398 Li
0.970 0.750 0.898 Li
0.160 0.750 0.360 Ac
0.340 0.250 0.860 Ac
0.660 0.750 0.140 Ac
0.840 0.250 0.640 Ac
0.133 0.750 0.680 Pt
0.230 0.750 0.062 Pt
0.270 0.250 0.562 Pt
0.367 0.250 0.180 Pt
0.633 0.750 0.820 Pt
0.730 0.750 0.438 Pt
0.770 0.250 0.938 Pt
0.867 0.250 0.320 Pt
```

# 4
The following is a DFT calculation (PBE-GGA) of a relaxed Li2AcPt crystal.

Values from the calculation:
ΔH_f (0 K) = -299.0 meV/atom
ΔE to the lowest computed polymorph = 0.2855 eV/atom

```
Li2AcPt
1.0
0.000 3.402 3.402
3.402 0.000 3.402
3.402 3.402 0.000
Li Ac Pt
2 1 1
direct
0.250 0.250 0.250 Li
0.750 0.750 0.750 Li
0.000 0.000 0.000 Ac
0.500 0.500 0.500 Pt
```

# 5
The following is a DFT calculation (PBE-GGA) of a relaxed LiAcPuPt2 crystal.

Values from the calculation:
ΔH_f (0 K) = -729.8 meV/atom

```
LiAcPuPt2
1.0
-2.150 2.150 6.415
2.150 -2.150 6.415
2.150 2.150 -6.415
Li Ac Pu Pt
1 1 1 2
direct
0.000 0.000 0.000 Li
0.750 0.250 0.500 Ac
0.500 0.500 0.000 Pu
0.142 0.642 0.500 Pt
0.358 0.858 0.500 Pt
```

# 6
The following is a DFT calculation (PBE-GGA) of a relaxed LiAcPtRh crystal.

Values from the calculation:
ΔH_f (0 K) = -469.4 meV/atom

```
LiAcPtRh
1.0
0.000 3.456 3.456
3.456 0.000 3.456
3.456 3.456 0.000
Li Ac Pt Rh
1 1 1 1
direct
0.000 0.000 0.000 Li
0.500 0.500 0.500 Ac
0.750 0.750 0.750 Pt
0.250 0.250 0.250 Rh
```

# 7
The following is a DFT calculation (PBE-GGA) of a relaxed LiAcSbPt crystal.

Values from the calculation:
energy relative to the elements, uncorrected = -66.0 kJ/mol of atoms

```
LiAcSbPt
1.0
0.000 3.599 3.599
3.599 0.000 3.599
3.599 3.599 0.000
Li Ac Sb Pt
1 1 1 1
direct
0.000 0.000 0.000 Li
0.250 0.250 0.250 Ac
0.750 0.750 0.750 Sb
0.500 0.500 0.500 Pt
```

# 8
The following is a DFT calculation (PBE-GGA) of a relaxed LiAc2SbPt6 crystal.

Values from the calculation:
energy relative to the elements, uncorrected = -74.3 kJ/mol of atoms

```
LiAc2SbPt6
1.0
6.271 -2.795 0.000
6.271 2.795 0.000
-6.060 0.000 6.322
Li Ac Sb Pt
1 2 1 6
direct
0.000 0.000 0.000 Li
0.264 0.264 0.804 Ac
0.736 0.736 0.196 Ac
0.500 0.500 0.500 Sb
0.237 0.756 0.747 Pt
0.243 0.243 0.395 Pt
0.244 0.763 0.253 Pt
0.756 0.237 0.747 Pt
0.757 0.757 0.605 Pt
0.763 0.244 0.253 Pt
```

# 9
The following is a DFT calculation (PBE-GGA) of a relaxed LiAc2Sb4Pt3 crystal.

Values from the calculation:
energy relative to the elements, uncorrected = -88.1 kJ/mol of atoms

```
LiAc2Sb4Pt3
1.0
4.727 0.000 0.000
0.000 4.727 0.000
0.000 0.000 10.814
Li Ac Sb Pt
1 2 4 3
direct
0.000 0.000 0.000 Li
0.000 0.500 0.756 Ac
0.500 0.000 0.244 Ac
0.000 0.000 0.500 Sb
0.000 0.500 0.129 Sb
0.500 0.000 0.871 Sb
0.500 0.500 0.500 Sb
0.000 0.500 0.377 Pt
0.500 0.000 0.623 Pt
0.500 0.500 0.000 Pt
```

# 10
The following is a DFT calculation (PBE-GGA) of a relaxed LiAc2Sb3Pt6 crystal.

Values from the calculation:
energy relative to the elements, uncorrected = -54.0 kJ/mol of atoms

```
LiAc2Sb3Pt6
1.0
4.333 0.000 0.000
0.000 4.333 0.000
0.000 0.000 15.865
Li Ac Sb Pt
1 2 3 6
direct
0.000 0.000 0.000 Li
0.000 0.000 0.287 Ac
0.000 0.000 0.713 Ac
0.500 0.500 0.177 Sb
0.500 0.500 0.500 Sb
0.500 0.500 0.823 Sb
0.000 0.500 0.087 Pt
0.000 0.500 0.913 Pt
0.500 0.000 0.087 Pt
0.500 0.000 0.913 Pt
0.500 0.500 0.341 Pt
0.500 0.500 0.659 Pt
```

# 11
The following is a DFT calculation (PBE-GGA) of a relaxed LiAc2SiPt6 crystal.

Values from the calculation:
energy relative to the elements, uncorrected = -81.9 kJ/mol of atoms

```
LiAc2SiPt6
1.0
2.932 1.693 7.057
-2.932 1.693 7.057
0.000 -3.385 7.057
Li Ac Si Pt
1 2 1 6
direct
0.000 0.000 0.000 Li
0.287 0.287 0.287 Ac
0.713 0.713 0.713 Ac
0.500 0.500 0.500 Si
0.216 0.748 0.748 Pt
0.252 0.252 0.784 Pt
0.252 0.784 0.252 Pt
0.748 0.216 0.748 Pt
0.748 0.748 0.216 Pt
0.784 0.252 0.252 Pt
```

# 12
The following is a DFT calculation (PBE-GGA) of a relaxed LiAcSiPt crystal.

Values from the calculation:
energy relative to the elements, uncorrected = -48.1 kJ/mol of atoms

```
LiAcSiPt
1.0
0.000 3.460 3.460
3.460 0.000 3.460
3.460 3.460 0.000
Li Ac Si Pt
1 1 1 1
direct
0.000 0.000 0.000 Li
0.750 0.750 0.750 Ac
0.250 0.250 0.250 Si
0.500 0.500 0.500 Pt
```

# 13
The following is a DFT calculation (PBE-GGA) of a relaxed LiAc2Si3Pt4 crystal.

Values from the calculation:
energy relative to the elements, uncorrected = -99.4 kJ/mol of atoms

```
LiAc2Si3Pt4
1.0
4.381 0.000 0.000
0.000 4.381 0.000
0.000 0.000 10.074
Li Ac Si Pt
1 2 3 4
direct
0.000 0.000 0.000 Li
0.000 0.500 0.756 Ac
0.500 0.000 0.244 Ac
0.000 0.500 0.376 Si
0.500 0.000 0.624 Si
0.500 0.500 0.000 Si
0.000 0.000 0.500 Pt
0.000 0.500 0.130 Pt
0.500 0.000 0.870 Pt
0.500 0.500 0.500 Pt
```

# 14
The following is a DFT calculation (PBE-GGA) of a relaxed LiAc2Si4Pt3 crystal.

Values from the calculation:
energy relative to the elements, uncorrected = -90.8 kJ/mol of atoms

```
LiAc2Si4Pt3
1.0
4.388 0.000 0.000
0.000 4.388 0.000
0.000 0.000 10.080
Li Ac Si Pt
1 2 4 3
direct
0.000 0.000 0.000 Li
0.000 0.500 0.750 Ac
0.500 0.000 0.250 Ac
0.000 0.000 0.500 Si
0.000 0.500 0.132 Si
0.500 0.000 0.868 Si
0.500 0.500 0.500 Si
0.000 0.500 0.384 Pt
0.500 0.000 0.616 Pt
0.500 0.500 0.000 Pt
```

# 15
The following is a DFT calculation (PBE-GGA) of a relaxed LiAcSmPt crystal.

Values from the calculation:
ΔH_f (0 K) = -483.5 meV/atom

```
LiAcSmPt
1.0
0.000 3.729 3.729
3.729 0.000 3.729
3.729 3.729 0.000
Li Ac Sm Pt
1 1 1 1
direct
0.000 0.000 0.000 Li
0.250 0.250 0.250 Ac
0.750 0.750 0.750 Sm
0.500 0.500 0.500 Pt
```

# 16
The following is a DFT calculation (PBE-GGA) of a relaxed LiAcSnPt3 crystal.

Values from the calculation:
ΔH_f (0 K) = -666.2 meV/atom

```
LiAcSnPt3
1.0
2.945 -6.044 0.000
2.945 6.044 0.000
0.000 0.000 7.094
Li Ac Sn Pt
2 2 2 6
direct
0.066 0.934 0.750 Li
0.934 0.066 0.250 Li
0.317 0.683 0.750 Ac
0.683 0.317 0.250 Ac
0.376 0.624 0.250 Sn
0.624 0.376 0.750 Sn
0.156 0.844 0.250 Pt
0.249 0.249 0.000 Pt
0.249 0.249 0.500 Pt
0.751 0.751 0.000 Pt
0.751 0.751 0.500 Pt
0.844 0.156 0.750 Pt
```

# 17
The following is a DFT calculation (PBE-GGA) of a relaxed LiAcSnPt crystal.

Values from the calculation:
ΔH_f (0 K) = -781.9 meV/atom
ΔE to the lowest computed polymorph = 0.0000 eV/atom

```
LiAcSnPt
1.0
4.098 -2.366 0.000
4.098 2.366 0.000
-2.740 0.000 4.992
Li Ac Sn Pt
1 1 1 1
direct
0.000 0.000 0.000 Li
0.200 0.200 0.602 Ac
0.708 0.708 0.125 Sn
0.404 0.404 0.212 Pt
```

# 18
The following is a DFT calculation (PBE-GGA) of a relaxed LiAcSn2Pt4 crystal.

Values from the calculation:
ΔH_f (0 K) = -780.4 meV/atom

```
LiAcSn2Pt4
1.0
2.250 1.299 9.160
-2.250 1.299 9.160
0.000 -2.598 9.160
Li Ac Sn Pt
1 1 2 4
direct
0.000 0.000 0.000 Li
0.500 0.500 0.500 Ac
0.264 0.264 0.264 Sn
0.736 0.736 0.736 Sn
0.096 0.096 0.096 Pt
0.364 0.364 0.364 Pt
0.636 0.636 0.636 Pt
0.904 0.904 0.904 Pt
```

# 19
The following is a DFT calculation (PBE-GGA) of a relaxed LiAcSnPt2 crystal.

Values from the calculation:
ΔH_f (0 K) = -925.1 meV/atom

```
LiAcSnPt2
1.0
-2.099 2.099 6.266
2.099 -2.099 6.266
2.099 2.099 -6.266
Li Ac Sn Pt
1 1 1 2
direct
0.000 0.000 0.000 Li
0.250 0.750 0.500 Ac
0.500 0.500 0.000 Sn
0.641 0.141 0.500 Pt
0.859 0.359 0.500 Pt
```

# 20
The following is a DFT calculation (PBE-GGA) of a relaxed LiAcSnPt crystal.

Values from the calculation:
ΔH_f (0 K) = -720.2 meV/atom
ΔE to the lowest computed polymorph = 0.0617 eV/atom

```
LiAcSnPt
1.0
0.000 3.575 3.575
3.575 0.000 3.575
3.575 3.575 0.000
Li Ac Sn Pt
1 1 1 1
direct
0.000 0.000 0.000 Li
0.250 0.250 0.250 Ac
0.750 0.750 0.750 Sn
0.500 0.500 0.500 Pt
```

D(E_F) per entry: 2.52, 1.16, 1.26, 2.93, 12.54, 2.80, 2.78, 4.70, 2.42, 6.53, 2.58, 0.15, 4.70, 5.53, 2.89, 3.14, 1.43, 3.44, 2.28, 0.02 states/eV/f.u.